Entry from Alexandria: an optimized crystal structure of SrCa2Os (PBE).

Unit cell a=6.368 b=6.368 c=3.451 alpha=77.23 beta=77.23 gamma=117.93
Sites, in units of the cell vectors:
Ca 0.500 0.500 0.000
Os 0.500 0.000 0.500
Ca 0.000 0.000 0.000
Sr 0.000 0.500 0.500

Values from the calculation:
- mass density (g/cm³) = 5.32
- crystal system = monoclinic
- volume (A^3/atom) = 27.93
- formation energy (eV/atom) = 0.80
- magnetic moment (μB per cell) = 0.6
- energy relative to the lowest polymorph listed for this composition (eV/atom) = 0.407

***

Entry from Alexandria: an optimized crystal structure of SrCa2Os (PBE).

Unit cell a=7.958 b=7.958 c=8.283 alpha=61.29 beta=61.29 gamma=90.00
Sites, in units of the cell vectors:
Os 0.750 0.250 0.500
Ca 0.876 0.625 0.250
Sr 0.250 0.750 0.500
Ca 0.875 0.124 0.750
Ca 0.874 0.125 0.250
Ca 0.375 0.126 0.750
Os 0.000 0.000 0.000
Sr 0.500 0.500 0.000

Values from the calculation:
- mass density (g/cm³) = 3.09
- crystal system = tetragonal
- volume (A^3/atom) = 48.11
- formation energy (eV/atom) = 0.99
- magnetic moment (μB per cell) = 0.0
- energy relative to the lowest polymorph listed for this composition (eV/atom) = 0.592

***

Entry from Alexandria: an optimized crystal structure of SrCaOs (PBE).

Unit cell a=3.580 b=3.580 c=7.897 alpha=90.00 beta=90.00 gamma=120.00
Sites, in units of the cell vectors:
Ca 0.000 0.000 0.074
Sr 0.333 0.667 0.599
Os 0.667 0.333 0.327

Values from the calculation:
- mass density (g/cm³) = 6.02
- crystal system = trigonal
- volume (A^3/atom) = 29.21
- formation energy (eV/atom) = 0.78
- magnetic moment (μB per cell) = 0.0
- energy relative to the lowest polymorph listed for this composition (eV/atom) = 0.226

***

Entry from Alexandria: an optimized crystal structure of SrCa2Os (PBE).

Unit cell a=3.561 b=3.559 c=10.576 alpha=70.33 beta=90.00 gamma=90.00
Sites, in units of the cell vectors:
Ca 0.000 0.586 0.414
Ca 0.000 0.914 0.086
Sr 0.500 0.750 0.750
Os 0.500 0.250 0.250

Values from the calculation:
- mass density (g/cm³) = 4.71
- crystal system = tetragonal
- volume (A^3/atom) = 31.56
- formation energy (eV/atom) = 0.41
- magnetic moment (μB per cell) = 0.0
- energy relative to the lowest polymorph listed for this composition (eV/atom) = 0.012

***

Entry from Alexandria: an optimized crystal structure of Sr2CaOs (PBE).

Unit cell a=11.498 b=11.498 c=11.498 alpha=19.24 beta=19.24 gamma=19.24
Sites, in units of the cell vectors:
Sr 0.247 0.247 0.247
Sr 0.026 0.026 0.026
Os 0.753 0.753 0.753
Ca 0.474 0.474 0.474

Values from the calculation:
- mass density (g/cm³) = 4.66
- crystal system = trigonal
- volume (A^3/atom) = 36.09
- formation energy (eV/atom) = 0.65
- magnetic moment (μB per cell) = 0.3
- energy relative to the lowest polymorph listed for this composition (eV/atom) = 0.199

***

Entry from Alexandria: an optimized crystal structure of Sr2CaOs (PBE).

Unit cell a=7.232 b=7.232 c=7.149 alpha=50.20 beta=50.20 gamma=31.54
Sites, in units of the cell vectors:
Sr 0.065 0.065 0.996
Ca 0.414 0.414 0.610
Os 0.779 0.779 0.576
Sr 0.242 0.242 0.317

Values from the calculation:
- mass density (g/cm³) = 4.61
- crystal system = monoclinic
- volume (A^3/atom) = 36.51
- formation energy (eV/atom) = 0.45
- magnetic moment (μB per cell) = 0.0
- energy relative to the lowest polymorph listed for this composition (eV/atom) = 0.001

***

Entry from Alexandria: an optimized crystal structure of SrCa2Os (PBE).

Unit cell a=11.274 b=11.274 c=11.274 alpha=18.86 beta=18.86 gamma=18.86
Sites, in units of the cell vectors:
Sr 0.750 0.750 0.750
Ca 0.525 0.525 0.525
Os 0.250 0.250 0.250
Ca 0.975 0.975 0.975

Values from the calculation:
- mass density (g/cm³) = 4.54
- crystal system = trigonal
- volume (A^3/atom) = 32.70
- formation energy (eV/atom) = 0.59
- magnetic moment (μB per cell) = 0.4
- energy relative to the lowest polymorph listed for this composition (eV/atom) = 0.191

***

Entry from Alexandria: an optimized crystal structure of Sr2CaOs (PBE).

Unit cell a=3.635 b=3.635 c=11.013 alpha=70.81 beta=90.00 gamma=90.00
Sites, in units of the cell vectors:
Sr 0.000 0.080 0.921
Sr 0.000 0.420 0.579
Os 0.500 0.750 0.750
Ca 0.500 0.250 0.250

Values from the calculation:
- mass density (g/cm³) = 4.90
- crystal system = monoclinic
- volume (A^3/atom) = 34.35
- formation energy (eV/atom) = 0.52
- magnetic moment (μB per cell) = 0.0
- energy relative to the lowest polymorph listed for this composition (eV/atom) = 0.071

***

Entry from Alexandria: an optimized crystal structure of Sr2CaOs (PBE).

Unit cell a=5.485 b=5.485 c=5.485 alpha=60.00 beta=60.00 gamma=60.00
Sites, in units of the cell vectors:
Ca 0.000 0.000 0.000
Sr 0.750 0.750 0.750
Os 0.500 0.500 0.500
Sr 0.250 0.250 0.250

Values from the calculation:
- mass density (g/cm³) = 5.77
- crystal system = cubic
- volume (A^3/atom) = 29.17
- formation energy (eV/atom) = 0.61
- magnetic moment (μB per cell) = 0.0
- energy relative to the lowest polymorph listed for this composition (eV/atom) = 0.161

***

Entry from Alexandria: an optimized crystal structure of Sr2CaOs (PBE).

Unit cell a=5.920 b=5.920 c=5.920 alpha=133.50 beta=125.26 gamma=74.59
Sites, in units of the cell vectors:
Sr 0.973 0.973 0.000
Sr 0.527 0.527 0.000
Ca 0.250 0.750 0.500
Os 0.750 0.250 0.500

Values from the calculation:
- mass density (g/cm³) = 5.62
- crystal system = orthorhombic
- volume (A^3/atom) = 29.95
- formation energy (eV/atom) = 0.62
- magnetic moment (μB per cell) = 0.0
- energy relative to the lowest polymorph listed for this composition (eV/atom) = 0.168

***

Entry from Alexandria: an optimized crystal structure of Sr3CaOs (PBE).

Unit cell a=5.873 b=5.873 c=5.873 alpha=90.00 beta=90.00 gamma=90.00
Sites, in units of the cell vectors:
Sr 0.000 0.000 0.500
Ca 0.000 0.000 0.000
Sr 0.000 0.500 0.000
Os 0.500 0.500 0.500
Sr 0.500 0.000 0.000

Values from the calculation:
- mass density (g/cm³) = 4.04
- crystal system = cubic
- volume (A^3/atom) = 40.52
- formation energy (eV/atom) = 1.95
- magnetic moment (μB per cell) = 0.0
- energy relative to the lowest polymorph listed for this composition (eV/atom) = 1.549

***

Entry from Alexandria: an optimized crystal structure of Sr2CaOs (PBE).

Unit cell a=8.688 b=8.688 c=5.031 alpha=73.17 beta=73.17 gamma=23.52
Sites, in units of the cell vectors:
Sr 0.402 0.402 0.598
Ca 0.250 0.250 0.250
Os 0.750 0.750 0.750
Sr 0.098 0.098 0.902

Values from the calculation:
- mass density (g/cm³) = 4.65
- crystal system = orthorhombic
- volume (A^3/atom) = 36.19
- formation energy (eV/atom) = 0.45
- magnetic moment (μB per cell) = 0.0
- energy relative to the lowest polymorph listed for this composition (eV/atom) = 0.000

***

Entry from Alexandria: an optimized crystal structure of Sr2CaOs (PBE).

Unit cell a=10.673 b=10.673 c=8.059 alpha=48.53 beta=48.53 gamma=90.00
Sites, in units of the cell vectors:
Sr 0.875 0.021 0.750
Os 0.750 0.250 0.500
Ca 0.500 0.500 0.000
Sr 0.375 0.229 0.750
Sr 0.771 0.125 0.250
Sr 0.979 0.625 0.250
Os 0.000 0.000 0.000
Ca 0.250 0.750 0.500

Values from the calculation:
- mass density (g/cm³) = 4.18
- crystal system = tetragonal
- volume (A^3/atom) = 40.24
- formation energy (eV/atom) = 0.60
- magnetic moment (μB per cell) = 0.0
- energy relative to the lowest polymorph listed for this composition (eV/atom) = 0.144

***

Entry from Alexandria: an optimized crystal structure of SrCa2Os (PBE).

Unit cell a=7.134 b=7.134 c=7.134 alpha=150.78 beta=133.39 gamma=55.97
Sites, in units of the cell vectors:
Sr 0.750 0.250 0.500
Os 0.250 0.750 0.500
Ca 0.426 0.426 0.000
Ca 0.074 0.074 0.000

Values from the calculation:
- mass density (g/cm³) = 4.64
- crystal system = orthorhombic
- volume (A^3/atom) = 32.00
- formation energy (eV/atom) = 0.40
- magnetic moment (μB per cell) = 0.0
- energy relative to the lowest polymorph listed for this composition (eV/atom) = 0.002

***

Entry from Alexandria: an optimized crystal structure of SrCa2Os (PBE).

Unit cell a=3.822 b=3.791 c=9.284 alpha=65.92 beta=90.00 gamma=90.00
Sites, in units of the cell vectors:
Ca 0.500 0.187 0.313
Sr 0.500 0.819 0.681
Ca 0.000 0.948 0.052
Os 0.000 0.546 0.455

Values from the calculation:
- mass density (g/cm³) = 4.84
- crystal system = orthorhombic
- volume (A^3/atom) = 30.70
- formation energy (eV/atom) = 0.46
- magnetic moment (μB per cell) = 0.0
- energy relative to the lowest polymorph listed for this composition (eV/atom) = 0.066